# ReGeSe3 PBE-GGA optimized geometry
# **Spin magnetization**: 0.00 μB per formula unit
# **Energy relative to the elements, uncorrected**: 1.468 eV per atom
data_ReGeSe3
_chemical_formula_sum 'Re1 Ge1 Se3'
_space_group_name_H-M_alt 'P m -3 m'
_space_group_IT_number 221
_space_group_name_Hall '-P 4 2 3'
_cell_length_a 4.7826
_cell_length_b 4.7826
_cell_length_c 4.7826
_cell_angle_alpha 90.00
_cell_angle_beta 90.00
_cell_angle_gamma 90.00
loop_
_atom_site_label
_atom_site_type_symbol
_atom_site_fract_x
_atom_site_fract_y
_atom_site_fract_z
_atom_site_occupancy
Re1 Re 0.0000 0.0000 0.0000 1
Ge1 Ge 0.5000 0.5000 0.5000 1
Se1 Se 0.0000 0.5000 0.5000 1

***

# Na3Tl4Cd2 PBE-GGA optimized geometry
# **Spin magnetization**: 0.00 μB per formula unit
# **E_form**: -0.83 eV/f.u.
data_Na3Tl4Cd2
_chemical_formula_sum 'Na6 Tl8 Cd4'
_space_group_name_H-M_alt 'C 1 2/m 1'
_space_group_IT_number 12
_cell_length_a 11.4318
_cell_length_b 5.3535
_cell_length_c 9.6393
_cell_angle_alpha 90.00
_cell_angle_beta 121.96
_cell_angle_gamma 90.00
loop_
_space_group_symop_operation_xyz
'x,y,z'
'-x,-y,-z'
'-x,y,-z'
'x,-y,z'
'x+1/2,y+1/2,z'
'-x+1/2,-y+1/2,-z'
'-x+1/2,y+1/2,-z'
'x+1/2,-y+1/2,z'
loop_
_atom_site_label
_atom_site_type_symbol
_atom_site_fract_x
_atom_site_fract_y
_atom_site_fract_z
_atom_site_occupancy
Na1 Na 0.0000 0.0000 0.0000 1
Na2 Na 0.1646 0.5000 0.6687 1
Tl1 Tl 0.0682 0.0000 0.3941 1
Tl2 Tl 0.2092 0.5000 0.0483 1
Cd1 Cd 0.1102 0.5000 0.2813 1